No. 1
This record from Alexandria describes a relaxed structure of Pa2Al3Mo. The functional is PBE.

CIF file:
```
data_Pa2Al3Mo
_symmetry_space_group_name_H-M 'C 1 2/m 1'
_symmetry_Int_Tables_number 12
_symmetry_space_group_name_Hall '-C 2y'
_cell_length_a 9.212
_cell_length_b 5.368
_cell_length_c 5.579
_cell_angle_alpha 90.00
_cell_angle_beta 123.15
_cell_angle_gamma 90.00
loop_
_atom_site_label
_atom_site_type_symbol
_atom_site_fract_x
_atom_site_fract_y
_atom_site_fract_z
Pa1 Pa 0.134 0.000 0.409
Al1 Al 0.000 0.500 0.000
Al2 Al 0.250 0.250 0.000
Mo1 Mo 0.000 0.500 0.500
```

Summary:
DFT formation energy = -272.2 meV/atom
ρ = 9.19 g/cm³


No. 2
This record from Alexandria describes a relaxed structure of BaCr2Ag. The functional is PBE.

CIF file:
```
data_BaCr2Ag
_symmetry_space_group_name_H-M 'C 1 2/m 1'
_symmetry_Int_Tables_number 12
_symmetry_space_group_name_Hall '-C 2y'
_cell_length_a 10.028
_cell_length_b 3.144
_cell_length_c 6.011
_cell_angle_alpha 90.00
_cell_angle_beta 102.77
_cell_angle_gamma 90.00
loop_
_atom_site_label
_atom_site_type_symbol
_atom_site_fract_x
_atom_site_fract_y
_atom_site_fract_z
Ba1 Ba 0.000 0.000 0.000
Cr1 Cr 0.227 0.000 0.604
Ag1 Ag 0.000 0.500 0.500
```

Summary:
DFT formation energy = 799.7 meV/atom
energy relative to the lowest polymorph listed for this composition = 285 meV per atom
ρ = 6.27 g/cm³


No. 3
This record from Alexandria describes a relaxed structure of TaCdHg2. The functional is PBE.

CIF file:
```
data_TaCdHg2
_symmetry_space_group_name_H-M 'I m m m'
_symmetry_Int_Tables_number 71
_symmetry_space_group_name_Hall '-I 2 2'
_cell_length_a 2.898
_cell_length_b 5.585
_cell_length_c 10.649
_cell_angle_alpha 90.00
_cell_angle_beta 90.00
_cell_angle_gamma 90.00
loop_
_atom_site_label
_atom_site_type_symbol
_atom_site_fract_x
_atom_site_fract_y
_atom_site_fract_z
Ta1 Ta 0.000 0.000 0.000
Cd1 Cd 0.000 0.000 0.500
Hg1 Hg 0.000 0.500 0.260
```

Summary:
DFT formation energy = 437.3 meV/atom
ρ = 13.38 g/cm³


No. 4
This record from Alexandria describes a relaxed structure of BiBSe2N. The functional is PBE.

CIF file:
```
data_BiBSe2N
_symmetry_space_group_name_H-M 'P 4/m m m'
_symmetry_Int_Tables_number 123
_symmetry_space_group_name_Hall '-P 4 2'
_cell_length_a 6.024
_cell_length_b 6.024
_cell_length_c 2.753
_cell_angle_alpha 90.00
_cell_angle_beta 90.00
_cell_angle_gamma 90.00
loop_
_atom_site_label
_atom_site_type_symbol
_atom_site_fract_x
_atom_site_fract_y
_atom_site_fract_z
Bi1 Bi 0.000 0.000 0.000
B1 B 0.500 0.500 0.500
Se1 Se 0.000 0.500 0.500
N1 N 0.500 0.500 0.000
```

Summary:
formation energy from raw total energies = 244 meV per atom
energy relative to the lowest polymorph listed for this composition = 0 meV per atom
ρ = 6.51 g/cm³


No. 5
This record from Alexandria describes a relaxed structure of InAgGe. The functional is PBE.

CIF file:
```
data_InAgGe
_symmetry_space_group_name_H-M 'P 1'
_symmetry_Int_Tables_number 1
_symmetry_space_group_name_Hall 'P 1'
_cell_length_a 3.103
_cell_length_b 6.221
_cell_length_c 7.058
_cell_angle_alpha 84.64
_cell_angle_beta 77.68
_cell_angle_gamma 76.24
loop_
_atom_site_label
_atom_site_type_symbol
_atom_site_fract_x
_atom_site_fract_y
_atom_site_fract_z
In1 In 0.000 0.000 0.000
In2 In 0.409 0.705 0.526
Ag1 Ag 0.581 0.182 0.666
Ag2 Ag 0.826 0.526 0.861
Ge1 Ge 0.155 0.550 0.189
Ge2 Ge 0.253 0.153 0.338
```

Summary:
DFT formation energy = 159.8 meV/atom
ρ = 7.59 g/cm³


No. 6
This record from Alexandria describes a relaxed structure of Si2HgRh. The functional is PBE.

CIF file:
```
data_Si2HgRh
_symmetry_space_group_name_H-M 'R 3 m'
_symmetry_Int_Tables_number 160
_symmetry_space_group_name_Hall 'R 3 -2"'
_cell_length_a 3.1390
_cell_length_b 3.1390
_cell_length_c 23.5768
_cell_angle_alpha 90.00
_cell_angle_beta 90.00
_cell_angle_gamma 120.00
loop_
_atom_site_label
_atom_site_type_symbol
_atom_site_fract_x
_atom_site_fract_y
_atom_site_fract_z
Si1 Si 0.0000 0.0000 0.0000
Si2 Si 0.0000 0.0000 0.2587
Hg1 Hg 0.0000 0.0000 0.4962
Rh1 Rh 0.0000 0.0000 0.7324
```

Summary:
formation energy from raw total energies = 63 meV per atom
ρ = 8.91 g/cm³


No. 7
This record from Alexandria describes a relaxed structure of SmThAgPd. The functional is PBE.

CIF file:
```
data_SmThAgPd
_symmetry_space_group_name_H-M 'F -4 3 m'
_symmetry_Int_Tables_number 216
_symmetry_space_group_name_Hall 'F -4 2 3'
_cell_length_a 7.335
_cell_length_b 7.335
_cell_length_c 7.335
_cell_angle_alpha 90.00
_cell_angle_beta 90.00
_cell_angle_gamma 90.00
loop_
_atom_site_label
_atom_site_type_symbol
_atom_site_fract_x
_atom_site_fract_y
_atom_site_fract_z
Sm1 Sm 0.000 0.000 0.000
Th1 Th 0.000 0.000 0.500
Ag1 Ag 0.250 0.250 0.750
Pd1 Pd 0.250 0.250 0.250
```

Summary:
DFT formation energy = -397.9 meV/atom
ρ = 10.04 g/cm³


No. 8
This record from Alexandria describes a relaxed structure of Mg2InAgH. The functional is PBE.

CIF file:
```
data_Mg2InAgH
_symmetry_space_group_name_H-M 'P 4/m m m'
_symmetry_Int_Tables_number 123
_symmetry_space_group_name_Hall '-P 4 2'
_cell_length_a 4.348
_cell_length_b 4.348
_cell_length_c 4.588
_cell_angle_alpha 90.00
_cell_angle_beta 90.00
_cell_angle_gamma 90.00
loop_
_atom_site_label
_atom_site_type_symbol
_atom_site_fract_x
_atom_site_fract_y
_atom_site_fract_z
Mg1 Mg 0.000 0.500 0.000
In1 In 0.000 0.000 0.500
Ag1 Ag 0.500 0.500 0.500
H1 H 0.000 0.000 0.000
```

Summary:
energy relative to the lowest polymorph listed for this composition = 37 meV per atom
ρ = 5.21 g/cm³


Number 1: V 231.0 Å³/cell. Number 2: V 184.8 Å³/cell. Number 3: V 172.4 Å³/cell. Number 4: V 99.9 Å³/cell. Number 5: V 129.2 Å³/cell. Number 6: V 201.2 Å³/cell. Number 7: V 394.6 Å³/cell. Number 8: V 86.8 Å³/cell.